The following is a GGA-PBE calculation of an optimized crystal structure of Th2AlO, from Alexandria via LeMat-Bulk.

Output
Size of the total moment   0.000 μB/f.u.
DOS(E_F)   14.81 states/eV per cell
V   24.054 Å³ per atom
Electronic total energy   -80.44 eV/cell

Cell lengths 3.3931, 3.3931, 28.9484 Å; angles 90.00, 90.00, 120.00 degrees
Space group R-3m (No. 166, hexagonal axes)
Symmetry-distinct sites (fractional):
Th: 0.0000 0.0000 0.1098 (multiplicity 6)
Al: 0.0000 0.0000 0.0000 (multiplicity 3)
O: 0.0000 0.0000 0.5000 (multiplicity 3)